This record from Alexandria describes an optimized crystal structure of FeP2Br. The functional is PBE.

Cell and atoms, written as POSCAR:
```
FeP2Br
1.0
3.5470 0.0000 0.0000
-1.7735 3.0718 0.0000
0.0000 0.0000 19.6048
Fe P Br
3 6 3
direct
0.0000 0.0000 0.0000
0.3333 0.6667 0.6667
0.6667 0.3333 0.3333
0.0000 0.0000 0.2873
0.0000 0.0000 0.7127
0.3333 0.6667 0.3794
0.3333 0.6667 0.9540
0.6667 0.3333 0.0460
0.6667 0.3333 0.6206
0.0000 0.0000 0.5000
0.3333 0.6667 0.1667
0.6667 0.3333 0.8333
```

Results
* total DFT energy (no corrections): -61.1 eV per cell
* uncorrected formation energy: 0.145 eV/atom
* symmetry: R-3m (166)
* energy above the lowest structure with this stoichiometry: 238 meV/atom